{
  "formula": "Cs2LiIrBr6",
  "functional": "PBE",
  "state": "relaxed",
  "space_group": "Pmmn (59)",
  "e_form_raw_ev_per_atom": -1.0970,
  "final_energy_ev_per_atom": -3.349,
  "de_polymorph_kj_per_mol_atoms": 0.0,
  "lattice_angstrom": [[8.039, 0.000, 0.000], [0.000, 8.568, 0.000], [0.000, 0.000, 9.637]],
  "species": ["Br", "Br", "Br", "Br", "Br", "Br", "Br", "Br", "Br", "Br", "Br", "Br", "Li", "Li", "Ir", "Ir", "Cs", "Cs", "Cs", "Cs"],
  "fractional_positions": [[0.219, 0.952, 0.000], [0.000, 0.758, 0.737], [0.500, 0.242, 0.237], [0.219, 0.529, 0.000], [0.719, 0.471, 0.500], [0.000, 0.758, 0.263], [0.781, 0.529, 0.000], [0.719, 0.048, 0.500], [0.781, 0.952, 0.000], [0.500, 0.242, 0.763], [0.281, 0.471, 0.500], [0.281, 0.048, 0.500], [0.000, 0.604, 0.500], [0.500, 0.396, 0.000], [0.500, 0.255, 0.500], [0.000, 0.745, 0.000], [0.500, 0.773, 0.258], [0.000, 0.227, 0.758], [0.500, 0.773, 0.742], [0.000, 0.227, 0.242]]
}

{
  "formula": "Cs2LiIrBr",
  "functional": "PBE",
  "state": "relaxed",
  "space_group": "P4/mmm (123)",
  "e_form_raw_ev_per_atom": 0.0025,
  "final_energy_ev_per_atom": -2.828,
  "dos_ef_per_ev_cell": 0.00,
  "lattice_angstrom": [[6.608, 0.000, 0.000], [0.000, 4.559, 0.000], [0.000, 0.000, 6.608]],
  "species": ["Li", "Cs", "Cs", "Br", "Ir"],
  "fractional_positions": [[0.000, 0.000, 0.000], [0.000, 0.000, 0.500], [0.500, 0.000, 0.000], [0.500, 0.500, 0.500], [0.000, 0.500, 0.000]]
}

{
  "formula": "Cs2MgIrBr6",
  "functional": "PBE",
  "state": "relaxed",
  "space_group": "I4/mmm (139)",
  "e_form_raw_ev_per_atom": -1.0298,
  "final_energy_ev_per_atom": -3.250,
  "dos_ef_per_ev_cell": 2.34,
  "lattice_angstrom": [[-5.675, -0.527, -5.042], [4.407, -4.252, -4.517], [-2.403, -6.830, -2.324]],
  "species": ["Br", "Br", "Br", "Br", "Br", "Br", "Mg", "Cs", "Cs", "Ir"],
  "fractional_positions": [[0.242, 0.242, 0.000], [0.758, 0.242, 0.000], [0.758, 0.758, 0.484], [0.242, 0.758, 0.000], [0.242, 0.242, 0.516], [0.758, 0.758, 0.000], [0.500, 0.500, 0.000], [0.750, 0.250, 0.500], [0.250, 0.750, 0.500], [0.000, 0.000, 0.000]]
}

{
  "formula": "CsMgIrBr2",
  "functional": "PBE",
  "state": "relaxed",
  "space_group": "P4/mmm (123)",
  "e_form_raw_ev_per_atom": 0.2533,
  "final_energy_ev_per_atom": -2.678,
  "dos_ef_per_ev_cell": 6.59,
  "lattice_angstrom": [[-1.969, -4.864, -0.569], [3.286, -1.851, 4.451], [-3.892, 1.182, 3.364]],
  "species": ["Cs", "Br", "Br", "Ir", "Mg"],
  "fractional_positions": [[0.000, 0.500, 0.000], [0.000, 0.000, 0.500], [0.500, 0.000, 0.000], [0.000, 0.000, 0.000], [0.500, 0.500, 0.500]]
}

{
  "formula": "Cs2IrBr6O",
  "functional": "PBE",
  "state": "relaxed",
  "space_group": "I4/mmm (139)",
  "e_form_raw_ev_per_atom": -0.6086,
  "final_energy_ev_per_atom": -3.165,
  "dos_ef_per_ev_cell": 7.93,
  "lattice_angstrom": [[-2.598, -5.212, 4.582], [6.451, -0.012, 3.645], [-0.088, 1.539, 7.693]],
  "species": ["Br", "Br", "Br", "Br", "Br", "Br", "Cs", "Cs", "O", "Ir"],
  "fractional_positions": [[0.240, 0.760, 0.000], [0.785, 0.785, 0.431], [0.760, 0.760, 0.000], [0.215, 0.215, 0.569], [0.760, 0.240, 0.000], [0.240, 0.240, 0.000], [0.250, 0.750, 0.500], [0.750, 0.250, 0.500], [0.500, 0.500, 0.000], [0.000, 0.000, 0.000]]
}

{
  "formula": "Cs2IrPbBr6",
  "functional": "PBE",
  "state": "relaxed",
  "space_group": "I4/mmm (139)",
  "e_form_raw_ev_per_atom": -0.9233,
  "final_energy_ev_per_atom": -3.355,
  "dos_ef_per_ev_cell": 4.99,
  "lattice_angstrom": [[-6.115, -0.930, 4.922], [-4.857, -0.793, -6.186], [-4.620, -6.399, -0.602]],
  "species": ["Ir", "Pb", "Br", "Br", "Br", "Br", "Br", "Br", "Cs", "Cs"],
  "fractional_positions": [[0.500, 0.500, 0.000], [0.000, 0.000, 0.000], [0.270, 0.270, 0.000], [0.730, 0.730, 0.539], [0.270, 0.270, 0.461], [0.270, 0.730, 0.000], [0.730, 0.270, 0.000], [0.730, 0.730, 0.000], [0.750, 0.250, 0.500], [0.250, 0.750, 0.500]]
}

{
  "formula": "CsRb2IrBr6",
  "functional": "PBE",
  "state": "relaxed",
  "space_group": "Fm-3m (225)",
  "e_form_raw_ev_per_atom": -1.0974,
  "final_energy_ev_per_atom": -3.266,
  "dos_ef_per_ev_cell": 0.00,
  "de_polymorph_kj_per_mol_atoms": 3.2,
  "lattice_angstrom": [[8.264, 0.000, 0.000], [0.000, 8.264, 0.000], [4.132, 4.132, 5.843]],
  "species": ["Br", "Br", "Br", "Br", "Br", "Br", "Cs", "Ir", "Rb", "Rb"],
  "fractional_positions": [[0.785, 0.785, 0.429], [0.215, 0.215, 0.000], [0.215, 0.215, 0.571], [0.785, 0.785, 0.000], [0.785, 0.215, 0.000], [0.215, 0.785, 0.000], [0.500, 0.500, 0.000], [0.000, 0.000, 0.000], [0.250, 0.750, 0.500], [0.750, 0.250, 0.500]]
}

{
  "formula": "CsRb2IrBr6",
  "functional": "PBE",
  "state": "relaxed",
  "space_group": "Pmmn (59)",
  "e_form_raw_ev_per_atom": -1.1302,
  "final_energy_ev_per_atom": -3.299,
  "de_polymorph_kj_per_mol_atoms": 0.0,
  "lattice_angstrom": [[7.573, 0.000, 0.000], [0.000, 9.504, 0.000], [0.000, 0.000, 11.577]],
  "species": ["Rb", "Rb", "Rb", "Rb", "Cs", "Cs", "Br", "Br", "Br", "Br", "Br", "Br", "Br", "Br", "Br", "Br", "Br", "Br", "Ir", "Ir"],
  "fractional_positions": [[0.500, 0.833, 0.204], [0.000, 0.167, 0.296], [0.000, 0.167, 0.704], [0.500, 0.833, 0.796], [0.000, 0.671, 0.500], [0.500, 0.329, 0.000], [0.764, 0.633, 0.000], [0.730, 0.988, 0.500], [0.500, 0.184, 0.718], [0.236, 0.633, 0.000], [0.230, 0.012, 0.000], [0.264, 0.367, 0.500], [0.270, 0.988, 0.500], [0.000, 0.816, 0.782], [0.500, 0.184, 0.282], [0.736, 0.367, 0.500], [0.000, 0.816, 0.218], [0.770, 0.012, 0.000], [0.000, 0.819, 0.000], [0.500, 0.181, 0.500]]
}

{
  "formula": "Cs2IrRhBr6",
  "functional": "PBE",
  "state": "relaxed",
  "space_group": "I4/mmm (139)",
  "e_form_raw_ev_per_atom": -0.6589,
  "final_energy_ev_per_atom": -3.455,
  "dos_ef_per_ev_cell": 9.75,
  "lattice_angstrom": [[7.477, 0.000, 0.000], [0.000, 7.477, 0.000], [3.738, 3.738, 5.273]],
  "species": ["Cs", "Cs", "Br", "Br", "Br", "Br", "Br", "Br", "Rh", "Ir"],
  "fractional_positions": [[0.250, 0.750, 0.500], [0.750, 0.250, 0.500], [0.754, 0.754, 0.000], [0.754, 0.246, 0.000], [0.246, 0.246, 0.507], [0.246, 0.246, 0.000], [0.246, 0.754, 0.000], [0.754, 0.754, 0.493], [0.500, 0.500, 0.000], [0.000, 0.000, 0.000]]
}

{
  "formula": "Cs2SbIrBr6",
  "functional": "PBE",
  "state": "relaxed",
  "space_group": "I4/mmm (139)",
  "e_form_raw_ev_per_atom": -0.7946,
  "final_energy_ev_per_atom": -3.267,
  "dos_ef_per_ev_cell": 3.86,
  "lattice_angstrom": [[7.791, 0.000, 0.000], [0.000, 7.791, 0.000], [3.895, 3.895, 5.530]],
  "species": ["Br", "Br", "Br", "Br", "Br", "Br", "Cs", "Cs", "Ir", "Sb"],
  "fractional_positions": [[0.235, 0.235, 0.530], [0.235, 0.235, 0.000], [0.765, 0.765, 0.000], [0.765, 0.235, 0.000], [0.235, 0.765, 0.000], [0.765, 0.765, 0.470], [0.750, 0.250, 0.500], [0.250, 0.750, 0.500], [0.000, 0.000, 0.000], [0.500, 0.500, 0.000]]
}

{
  "formula": "CsIrSeBr2",
  "functional": "PBE",
  "state": "relaxed",
  "space_group": "P4/mmm (123)",
  "e_form_raw_ev_per_atom": 1.4640,
  "final_energy_ev_per_atom": -1.845,
  "dos_ef_per_ev_cell": 10.34,
  "de_polymorph_kj_per_mol_atoms": 187.1,
  "lattice_angstrom": [[-0.756, -5.805, 2.400], [4.843, -2.078, -3.502], [3.661, 1.298, 4.292]],
  "species": ["Ir", "Se", "Cs", "Br", "Br"],
  "fractional_positions": [[0.500, 0.500, 0.500], [0.000, 0.000, 0.500], [0.000, 0.000, 0.000], [0.500, 0.000, 0.000], [0.000, 0.500, 0.000]]
}

{
  "formula": "CsIrSeBr2",
  "functional": "PBE",
  "state": "relaxed",
  "space_group": "P4/mmm (123)",
  "e_form_raw_ev_per_atom": -0.4755,
  "final_energy_ev_per_atom": -3.784,
  "dos_ef_per_ev_cell": 2.65,
  "de_polymorph_kj_per_mol_atoms": 0.0,
  "lattice_angstrom": [[-2.398, 4.797, -1.544], [0.486, -1.482, -5.359], [-4.230, -2.055, 0.185]],
  "species": ["Br", "Br", "Ir", "Cs", "Se"],
  "fractional_positions": [[0.500, 0.000, 0.000], [0.000, 0.500, 0.000], [0.000, 0.000, 0.000], [0.500, 0.500, 0.500], [0.000, 0.000, 0.500]]
}

{
  "formula": "Cs2SnIrBr6",
  "functional": "PBE",
  "state": "relaxed",
  "space_group": "I4/mmm (139)",
  "e_form_raw_ev_per_atom": -0.8961,
  "final_energy_ev_per_atom": -3.357,
  "dos_ef_per_ev_cell": 4.96,
  "lattice_angstrom": [[7.829, 0.000, 0.000], [0.000, 7.829, 0.000], [3.914, 3.914, 5.550]],
  "species": ["Br", "Br", "Br", "Br", "Br", "Br", "Sn", "Cs", "Cs", "Ir"],
  "fractional_positions": [[0.767, 0.767, 0.466], [0.233, 0.767, 0.000], [0.233, 0.233, 0.000], [0.233, 0.233, 0.534], [0.767, 0.767, 0.000], [0.767, 0.233, 0.000], [0.500, 0.500, 0.000], [0.750, 0.250, 0.500], [0.250, 0.750, 0.500], [0.000, 0.000, 0.000]]
}

{
  "formula": "CsTaIr2Br",
  "functional": "PBE",
  "state": "relaxed",
  "space_group": "P4/mmm (123)",
  "e_form_raw_ev_per_atom": 3.1952,
  "final_energy_ev_per_atom": -3.225,
  "dos_ef_per_ev_cell": 8.30,
  "lattice_angstrom": [[-0.123, 4.669, 1.779], [-2.155, -1.806, 4.590], [4.578, -0.607, 1.910]],
  "species": ["Ta", "Ir", "Ir", "Br", "Cs"],
  "fractional_positions": [[0.000, 0.500, 0.000], [0.000, 0.000, 0.500], [0.500, 0.000, 0.000], [0.500, 0.500, 0.500], [0.000, 0.000, 0.000]]
}

{
  "formula": "CsTl2IrBr6",
  "functional": "PBE",
  "state": "relaxed",
  "space_group": "Pmmn (59)",
  "e_form_raw_ev_per_atom": -0.7787,
  "final_energy_ev_per_atom": -3.227,
  "lattice_angstrom": [[-6.155, 4.167, -0.160], [-3.579, -5.562, -7.135], [-4.849, -6.863, 7.783]],
  "species": ["Br", "Br", "Br", "Br", "Br", "Br", "Br", "Br", "Br", "Br", "Br", "Br", "Tl", "Tl", "Tl", "Tl", "Ir", "Ir", "Cs", "Cs"],
  "fractional_positions": [[0.758, 0.647, 0.000], [0.242, 0.647, 0.000], [0.239, 0.011, 0.000], [0.739, 0.989, 0.500], [0.000, 0.827, 0.220], [0.258, 0.353, 0.500], [0.500, 0.173, 0.720], [0.761, 0.011, 0.000], [0.000, 0.827, 0.780], [0.500, 0.173, 0.280], [0.742, 0.353, 0.500], [0.261, 0.989, 0.500], [0.000, 0.152, 0.312], [0.000, 0.152, 0.688], [0.500, 0.848, 0.188], [0.500, 0.848, 0.812], [0.000, 0.827, 0.000], [0.500, 0.173, 0.500], [0.000, 0.660, 0.500], [0.500, 0.340, 0.000]]
}

{
  "formula": "Cs2TlIrBr6",
  "functional": "PBE",
  "state": "relaxed",
  "space_group": "Fm-3m (225)",
  "e_form_raw_ev_per_atom": -0.9961,
  "final_energy_ev_per_atom": -3.293,
  "dos_ef_per_ev_cell": 0.00,
  "lattice_angstrom": [[8.028, 0.000, 0.000], [0.000, 8.028, 0.000], [4.014, 4.014, 5.674]],
  "species": ["Cs", "Cs", "Br", "Br", "Br", "Br", "Br", "Br", "Ir", "Tl"],
  "fractional_positions": [[0.750, 0.250, 0.500], [0.250, 0.750, 0.500], [0.722, 0.278, 0.000], [0.278, 0.722, 0.000], [0.278, 0.278, 0.000], [0.722, 0.722, 0.000], [0.278, 0.278, 0.445], [0.722, 0.722, 0.555], [0.500, 0.500, 0.000], [0.000, 0.000, 0.000]]
}

{
  "formula": "Cs2VIrBr6",
  "functional": "PBE",
  "state": "relaxed",
  "space_group": "I4/mmm (139)",
  "e_form_raw_ev_per_atom": -0.8008,
  "final_energy_ev_per_atom": -3.773,
  "dos_ef_per_ev_cell": 11.00,
  "lattice_angstrom": [[7.540, 0.000, 0.000], [0.000, 7.540, 0.000], [3.770, 3.770, 5.320]],
  "species": ["Br", "Br", "Br", "Br", "Br", "Br", "Cs", "Cs", "Ir", "V"],
  "fractional_positions": [[0.752, 0.752, 0.000], [0.754, 0.754, 0.493], [0.248, 0.248, 0.000], [0.752, 0.248, 0.000], [0.248, 0.752, 0.000], [0.246, 0.246, 0.507], [0.750, 0.250, 0.500], [0.250, 0.750, 0.500], [0.000, 0.000, 0.000], [0.500, 0.500, 0.000]]
}

{
  "formula": "Cs2IrWBr6",
  "functional": "PBE",
  "state": "relaxed",
  "space_group": "I4/mmm (139)",
  "e_form_raw_ev_per_atom": -0.4930,
  "final_energy_ev_per_atom": -3.849,
  "dos_ef_per_ev_cell": 4.02,
  "lattice_angstrom": [[7.589, 0.000, 0.000], [0.000, 7.589, 0.000], [3.794, 3.794, 5.378]],
  "species": ["Br", "Br", "Br", "Br", "Br", "Br", "Cs", "Cs", "W", "Ir"],
  "fractional_positions": [[0.749, 0.749, 0.000], [0.749, 0.251, 0.000], [0.748, 0.748, 0.504], [0.251, 0.749, 0.000], [0.251, 0.251, 0.000], [0.252, 0.252, 0.496], [0.250, 0.750, 0.500], [0.750, 0.250, 0.500], [0.500, 0.500, 0.000], [0.000, 0.000, 0.000]]
}

{
  "formula": "Cs2YIrBr6",
  "functional": "PBE",
  "state": "relaxed",
  "space_group": "I4/mmm (139)",
  "e_form_raw_ev_per_atom": -1.1814,
  "final_energy_ev_per_atom": -3.888,
  "dos_ef_per_ev_cell": 0.00,
  "lattice_angstrom": [[7.839, 0.000, 0.000], [0.000, 7.839, 0.000], [3.920, 3.920, 5.553]],
  "species": ["Cs", "Cs", "Y", "Br", "Br", "Br", "Br", "Br", "Br", "Ir"],
  "fractional_positions": [[0.750, 0.250, 0.500], [0.250, 0.750, 0.500], [0.500, 0.500, 0.000], [0.246, 0.246, 0.000], [0.754, 0.754, 0.493], [0.246, 0.246, 0.507], [0.754, 0.754, 0.000], [0.754, 0.246, 0.000], [0.246, 0.754, 0.000], [0.000, 0.000, 0.000]]
}

{
  "formula": "Cs2ZnIrBr6",
  "functional": "PBE",
  "state": "relaxed",
  "space_group": "I4/mmm (139)",
  "e_form_raw_ev_per_atom": -0.8699,
  "final_energy_ev_per_atom": -3.058,
  "dos_ef_per_ev_cell": 3.03,
  "lattice_angstrom": [[-6.957, 2.849, 1.835], [-2.383, -7.093, 1.977], [-3.053, -1.309, 6.772]],
  "species": ["Br", "Br", "Br", "Br", "Br", "Br", "Cs", "Cs", "Ir", "Zn"],
  "fractional_positions": [[0.767, 0.233, 0.000], [0.252, 0.252, 0.497], [0.233, 0.767, 0.000], [0.748, 0.748, 0.503], [0.767, 0.767, 0.000], [0.233, 0.233, 0.000], [0.750, 0.250, 0.500], [0.250, 0.750, 0.500], [0.000, 0.000, 0.000], [0.500, 0.500, 0.000]]
}